## ZnCdW4 (PBE-GGA)

Data for an optimized crystal structure of ZnCdW4.

E   -49.490 eV per cell
M_tot   0.000 μB per cell
DFT formation energy   751.9 meV/atom

a b c (Å): 5.3466 5.3466 5.3466
angles (deg): 60.00 60.00 60.00
With the nearest neighbours (Å) after each atom.
Fractional positions:
Zn1 0.0000 0.0000 0.0000  12 W 3.13, 4 Cd 3.27
Cd1 0.7500 0.7500 0.7500  12 W 3.14, 4 Zn 3.27
W1 0.3747 0.3747 0.3747  6 W 2.67-2.68
W2 0.3747 0.3747 0.8758  6 W 2.67-2.68
W3 0.3747 0.8758 0.3747  6 W 2.67-2.68
W4 0.8758 0.3747 0.3747  6 W 2.67-2.68